First-principles (GGA-PBE) data for an optimized crystal structure of Mo7Ir, as listed in the Alexandria database.

Geometry as POSCAR:
```
Mo7Ir
1.0
0.0000 3.9803 3.9803
3.9803 0.0000 3.9803
3.9803 3.9803 0.0000
Mo Ir
7 1
direct
0.0000 0.0000 0.0000
0.0000 0.0000 0.5000
0.0000 0.5000 0.0000
0.0000 0.5000 0.5000
0.5000 0.0000 0.0000
0.5000 0.0000 0.5000
0.5000 0.5000 0.0000
0.5000 0.5000 0.5000
```

Output
Formation energy from the elements, meV/atom: 207
Energy, eV per formula unit: -83.02
Density of states at the Fermi level, states/eV/atom: 1.693



First-principles (GGA-PBE) data for an optimized crystal structure of Th6TlIn, as listed in the Alexandria database.

Geometry as POSCAR:
```
Th6TlIn
1.0
4.9564 0.0000 0.0000
0.0000 4.9564 0.0000
0.0000 0.0000 9.9146
Th Tl In
6 1 1
direct
0.0000 0.0000 0.0000
0.0000 0.0000 0.5000
0.0000 0.5000 0.2487
0.0000 0.5000 0.7513
0.5000 0.0000 0.2487
0.5000 0.0000 0.7513
0.5000 0.5000 0.5000
0.5000 0.5000 0.0000
```

Output
Formation energy from the elements, meV/atom: -107
Energy, eV per formula unit: -50.48
Density of states at the Fermi level, states/eV/atom: 1.345



First-principles (GGA-PBE) data for an optimized crystal structure of Ac2Ni12Ge3Rh, as listed in the Alexandria database.

Geometry as POSCAR:
```
Ac2Ni12Ge3Rh
1.0
3.9132 2.2593 6.2375
-3.9132 2.2593 6.2375
0.0000 -4.5186 6.2375
Ac Ni Ge Rh
2 12 3 1
direct
0.1090 0.1090 0.1090
0.8910 0.8910 0.8910
0.1384 0.6216 0.6216
0.1560 0.1560 0.4876
0.1560 0.4877 0.1560
0.3784 0.3784 0.8616
0.3784 0.8616 0.3784
0.4876 0.1560 0.1560
0.5124 0.8440 0.8440
0.6216 0.1384 0.6216
0.6216 0.6216 0.1384
0.8440 0.5124 0.8440
0.8440 0.8440 0.5124
0.8616 0.3784 0.3784
0.0000 0.5000 0.5000
0.5000 0.0000 0.5000
0.5000 0.5000 0.0000
0.5000 0.5000 0.5000
```

Output
Formation energy from the elements, meV/atom: 189
Energy, eV per formula unit: -95.40
Density of states at the Fermi level, states/eV/atom: 0.935



First-principles (GGA-PBE) data for an optimized crystal structure of CaReAg2, as listed in the Alexandria database.

Geometry as POSCAR:
```
CaReAg2
1.0
0.0000 3.4067 3.4067
3.4067 0.0000 3.4067
3.4067 3.4067 0.0000
Ca Re Ag
1 1 2
direct
0.0000 0.0000 0.0000
0.2500 0.2500 0.2500
0.5000 0.5000 0.5000
0.7500 0.7500 0.7500
```

Output
Formation energy from the elements, meV/atom: 791
Relative energy among the computed polymorphs, eV/f.u.: 1.272
Energy, eV per formula unit: -16.99
Density of states at the Fermi level, states/eV/atom: 0.260



First-principles (GGA-PBE) data for an optimized crystal structure of BePdW, as listed in the Alexandria database.

Geometry as POSCAR:
```
BePdW
1.0
2.1334 -3.6961 0.0000
2.1334 3.6961 0.0000
0.0000 0.0000 5.0786
Be Pd W
2 2 2
direct
0.1662 0.8338 0.7500
0.8338 0.1662 0.2500
0.1668 0.8332 0.2500
0.8332 0.1668 0.7500
0.5000 0.5000 0.0000
0.5000 0.5000 0.5000
```

Output
Formation energy from the elements, meV/atom: 25
Relative energy among the computed polymorphs, eV/f.u.: 0.669
Energy, eV per formula unit: -21.80
Density of states at the Fermi level, states/eV/atom: 0.589



First-principles (GGA-PBE) data for an optimized crystal structure of CeErMgSn, as listed in the Alexandria database.

Geometry as POSCAR:
```
CeErMgSn
1.0
0.0000 3.7734 3.7734
3.7734 0.0000 3.7734
3.7734 3.7734 0.0000
Ce Er Mg Sn
1 1 1 1
direct
0.0000 0.0000 0.0000
0.5000 0.5000 0.5000
0.2500 0.2500 0.2500
0.7500 0.7500 0.7500
```

Output
Formation energy from the elements, meV/atom: -330
Energy, eV per formula unit: -17.42
Density of states at the Fermi level, states/eV/atom: 2.146



First-principles (GGA-PBE) data for an optimized crystal structure of VInPd3, as listed in the Alexandria database.

Geometry as POSCAR:
```
VInPd3
1.0
4.8927 0.0000 0.0000
0.0000 4.8927 0.0000
0.0000 0.0000 4.8927
V In Pd
1 1 3
direct
0.0000 0.0000 0.0000
0.5000 0.5000 0.5000
0.0000 0.5000 0.5000
0.5000 0.0000 0.5000
0.5000 0.5000 0.0000
```

Output
Formation energy from the elements, meV/atom: 897
Relative energy among the computed polymorphs, eV/f.u.: 1.930
Energy, eV per formula unit: -22.95
Density of states at the Fermi level, states/eV/atom: 1.860



First-principles (GGA-PBE) data for an optimized crystal structure of Fe3AgBr, as listed in the Alexandria database.

Geometry as POSCAR:
```
Fe3AgBr
1.0
4.8534 0.0000 0.0000
0.0000 4.8534 0.0000
0.0000 0.0000 4.8534
Fe Ag Br
3 1 1
direct
0.0000 0.0000 0.5000
0.0000 0.5000 0.0000
0.5000 0.0000 0.0000
0.0000 0.0000 0.0000
0.5000 0.5000 0.5000
```

Output
Raw formation energy, meV/atom: 1435
Relative energy among the computed polymorphs, eV/f.u.: 1.733
Energy, eV per formula unit: -22.74
Density of states at the Fermi level, states/eV/atom: 1.333



First-principles (GGA-PBE) data for an optimized crystal structure of Li6SnI8, as listed in the Alexandria database.

Geometry as POSCAR:
```
Li6SnI8
1.0
0.0000 6.1112 6.1112
6.1112 0.0000 6.1112
6.1112 6.1112 0.0000
Li Sn I
6 1 8
direct
0.0000 0.0000 0.5000
0.0000 0.5000 0.0000
0.0000 0.5000 0.5000
0.5000 0.0000 0.0000
0.5000 0.0000 0.5000
0.5000 0.5000 0.0000
0.0000 0.0000 0.0000
0.2500 0.2500 0.2500
0.2578 0.2578 0.7422
0.2578 0.7422 0.2578
0.2578 0.7422 0.7422
0.7422 0.2578 0.2578
0.7422 0.2578 0.7422
0.7422 0.7422 0.2578
0.7500 0.7500 0.7500
```

Output
Raw formation energy, meV/atom: -1032
Energy, eV per formula unit: -43.37
Density of states at the Fermi level, states/eV/atom: 0.000



First-principles (GGA-PBE) data for an optimized crystal structure of KAl2Re, as listed in the Alexandria database.

Geometry as POSCAR:
```
KAl2Re
1.0
2.7386 0.0000 0.0000
0.0000 4.1461 0.0000
0.0000 0.0000 8.0842
K Al Re
1 2 1
direct
0.0000 0.0000 0.0000
0.0000 0.0000 0.4357
0.5000 0.5000 0.6552
0.5000 0.5000 0.3413
```

Output
Formation energy from the elements, meV/atom: 401
Relative energy among the computed polymorphs, eV/f.u.: 0.656
Energy, eV per formula unit: -19.43
Density of states at the Fermi level, states/eV/atom: 0.534



First-principles (GGA-PBE) data for an optimized crystal structure of TaNbNO2, as listed in the Alexandria database.

Geometry as POSCAR:
```
TaNbNO2
1.0
3.6905 0.0000 0.0000
0.0000 3.6905 0.0000
0.0000 0.0000 6.2594
Ta Nb N O
1 1 1 2
direct
0.0000 0.0000 0.0000
0.0000 0.0000 0.5000
0.5000 0.5000 0.0000
0.0000 0.5000 0.5000
0.5000 0.0000 0.5000
```

Output
Raw formation energy, meV/atom: -244
Energy, eV per formula unit: -41.39
Density of states at the Fermi level, states/eV/atom: 0.656



First-principles (GGA-PBE) data for an optimized crystal structure of PuInTe2, as listed in the Alexandria database.

Geometry as POSCAR:
```
PuInTe2
1.0
3.8977 0.0000 0.0000
0.0000 3.8977 0.0000
0.0000 0.0000 7.7034
Pu In Te
1 1 2
direct
0.0000 0.0000 0.0000
0.0000 0.0000 0.5000
0.5000 0.5000 0.2263
0.5000 0.5000 0.7737
```

Output
Raw formation energy, meV/atom: -647
Energy, eV per formula unit: -25.94
Density of states at the Fermi level, states/eV/atom: 2.107